# 1
The following is a DFT calculation (PBE) of a relaxed In2Cu2Te crystal.

a b c (Å): 7.165 7.165 4.174
angles (deg): 90.00 90.00 90.00
Element x y z (fractional)
In 0.163 0.663 0.500
In 0.837 0.337 0.500
In 0.663 0.837 0.500
Cu 0.877 0.623 0.000
Cu 0.623 0.123 0.000
In 0.337 0.163 0.500
Cu 0.123 0.377 0.000
Cu 0.377 0.877 0.000
Te 0.500 0.500 0.000
Te 0.000 0.000 0.000

Summary:
E above lowest polymorph   0.00 eV per formula unit
Energy relative to the elements, uncorrected   77.6 meV per atom
Crystal system   tetragonal


# 2
The following is a DFT calculation (PBE) of a relaxed Ac2LaSm crystal.

a b c (Å): 5.350 5.453 5.453
angles (deg): 90.00 90.00 90.00
Element x y z (fractional)
Ac 0.000 0.000 0.500
La 0.500 0.000 0.000
Ac 0.000 0.500 0.000
Sm 0.500 0.500 0.500

Summary:
E above lowest polymorph   0.00 eV per formula unit
Crystal system   tetragonal
Formation energy   8.9 kJ/mol of formula units


# 3
The following is a DFT calculation (PBE) of a relaxed BaSrSb crystal.

a b c (Å): 7.890 7.890 4.314
angles (deg): 74.14 74.13 31.73
Each line ends with the local moment (μB).
Element x y z (fractional)
Ba 0.958 0.958 0.042  0.05
Sb 0.325 0.325 0.675  0.02
Sr 0.717 0.717 0.283  0.03

Summary:
E above lowest polymorph   0.48 eV per formula unit
Energy relative to the elements, uncorrected   -675.7 meV per atom
Crystal system   tetragonal


# 4
The following is a DFT calculation (PBE) of a relaxed K2DyErSe4 crystal.

a b c (Å): 4.197 7.268 8.052
angles (deg): 107.50 90.00 90.00
Element x y z (fractional)
K 0.500 0.000 0.500
Er 0.000 0.000 0.000
Se 0.500 0.767 0.796
K 0.000 0.500 0.500
Se 0.000 0.737 0.205
Se 0.000 0.263 0.795
Se 0.500 0.233 0.204
Dy 0.500 0.500 0.000

Summary:
Energy relative to the elements, uncorrected   -1761.1 meV per atom
Crystal system   monoclinic


# 5
The following is a DFT calculation (PBE) of a relaxed Li2NdDy3Se6 crystal.

a b c (Å): 7.046 7.046 7.092
angles (deg): 99.59 99.59 119.98
Element x y z (fractional)
Se 0.738 0.738 0.248
Li 0.669 0.331 0.000
Nd 0.000 0.000 0.000
Dy 0.500 0.500 0.500
Se 0.573 0.917 0.751
Se 0.917 0.573 0.751
Dy 0.165 0.835 0.500
Se 0.427 0.083 0.249
Se 0.262 0.262 0.752
Dy 0.835 0.165 0.500
Se 0.083 0.427 0.249
Li 0.331 0.669 0.000

Summary:
Energy relative to the elements, uncorrected   -1729.8 meV per atom
Crystal system   monoclinic


# 6
The following is a DFT calculation (PBE) of a relaxed Tl2SiRu crystal.

a b c (Å): 6.831 6.831 6.831
angles (deg): 154.13 139.45 48.73
Element x y z (fractional)
Si 0.329 0.829 0.500
Tl 0.998 0.998 0.000
Ru 0.474 0.474 0.000
Tl 0.699 0.199 0.500

Summary:
E above lowest polymorph   1.06 eV per formula unit
Energy relative to the elements, uncorrected   308.8 meV per atom
Crystal system   orthorhombic